Material: TbTiZn2
Method: DFT, PBE
State: optimized geometry

Lattice parameters (Å, degrees): 4.765 4.765 3.410 90.00 90.00 90.00
Fractional positions:
Tb 0.000 0.000 0.000
Ti 0.500 0.500 0.000
Zn 0.000 0.500 0.500
Zn 0.500 0.000 0.500

Electronic total energy ... -3.8865 eV/atom
Magnetization ... 1.02 μB per cell

---

Material: TbTiZn4
Method: DFT, PBE
State: optimized geometry

Lattice parameters (Å, degrees): 5.283 5.283 5.283 60.00 60.00 60.00
Fractional positions:
Tb 0.000 0.000 0.000
Ti 0.750 0.750 0.750
Zn 0.376 0.376 0.376
Zn 0.376 0.376 0.873
Zn 0.376 0.873 0.376
Zn 0.873 0.376 0.376

Electronic total energy ... -3.1553 eV/atom
Magnetization ... 2.12 μB per cell

---

Material: Tb2TiZn
Method: DFT, PBE
State: optimized geometry

Lattice parameters (Å, degrees): 5.042 5.042 3.746 90.00 90.00 90.00
Fractional positions:
Tb 0.000 0.500 0.000
Tb 0.500 0.000 0.000
Ti 0.000 0.000 0.500
Zn 0.500 0.500 0.500

Electronic total energy ... -4.5760 eV/atom
Distance to the lowest polymorph of the same formula ... 0.056 eV/atom
Magnetization ... 2.44 μB per cell

---

Material: Tb4TiZn5
Method: DFT, PBE
State: optimized geometry

Lattice parameters (Å, degrees): 3.488 3.488 17.564 90.00 90.00 90.00
Fractional positions:
Tb 0.000 0.000 0.105
Tb 0.000 0.000 0.315
Tb 0.000 0.000 0.685
Tb 0.000 0.000 0.895
Ti 0.000 0.000 0.500
Zn 0.500 0.500 0.000
Zn 0.500 0.500 0.210
Zn 0.500 0.500 0.423
Zn 0.500 0.500 0.577
Zn 0.500 0.500 0.790

Electronic total energy ... -3.5448 eV/atom
Magnetization ... 0.09 μB per cell

---

Material: TbZrTi
Method: DFT, PBE
State: optimized geometry

Lattice parameters (Å, degrees): 3.219 3.219 7.875 90.00 90.00 120.00
Fractional positions:
Tb 0.000 0.000 0.000
Zr 0.333 0.667 0.629
Ti 0.667 0.333 0.334

Electronic total energy ... -6.8013 eV/atom
Distance to the lowest polymorph of the same formula ... 0.052 eV/atom
Magnetization ... 0.00 μB per cell

---

Material: TbZr2Ti
Method: DFT, PBE
State: optimized geometry

Lattice parameters (Å, degrees): 10.628 10.628 10.628 17.38 17.38 17.38
Fractional positions:
Tb 0.000 0.000 0.000
Zr 0.243 0.243 0.243
Zr 0.757 0.757 0.757
Ti 0.500 0.500 0.500

Electronic total energy ... -7.2376 eV/atom
Distance to the lowest polymorph of the same formula ... 0.038 eV/atom
Magnetization ... 0.00 μB per cell

---

Material: TbZrTi2
Method: DFT, PBE
State: optimized geometry

Lattice parameters (Å, degrees): 3.630 3.630 6.745 90.00 90.00 90.00
Fractional positions:
Tb 0.000 0.000 0.000
Zr 0.000 0.000 0.500
Ti 0.500 0.500 0.297
Ti 0.500 0.500 0.703

Electronic total energy ... -7.1019 eV/atom
Magnetization ... 0.00 μB per cell

---

Material: TbZr2Ti
Method: DFT, PBE
State: optimized geometry

Lattice parameters (Å, degrees): 3.640 3.640 7.136 90.00 90.00 90.00
Fractional positions:
Tb 0.000 0.000 0.000
Zr 0.500 0.500 0.297
Zr 0.500 0.500 0.703
Ti 0.000 0.000 0.500

Electronic total energy ... -7.2760 eV/atom
Distance to the lowest polymorph of the same formula ... 0.000 eV/atom
Magnetization ... 0.00 μB per cell

---

Material: TbZrTi
Method: DFT, PBE
State: optimized geometry

Lattice parameters (Å, degrees): 3.145 5.968 8.191 106.92 100.96 90.11
Fractional positions:
Tb 0.099 0.429 0.199
Tb 0.901 0.571 0.801
Zr 0.411 0.090 0.823
Zr 0.589 0.910 0.177
Ti 0.242 0.185 0.484
Ti 0.758 0.815 0.516

Electronic total energy ... -6.8528 eV/atom
Distance to the lowest polymorph of the same formula ... 0.000 eV/atom
Magnetization ... 0.00 μB per cell

---

Material: Tb2ZrTi
Method: DFT, PBE
State: optimized geometry

Lattice parameters (Å, degrees): 11.445 11.445 11.445 16.45 16.45 16.45
Fractional positions:
Tb 0.087 0.087 0.087
Tb 0.913 0.913 0.913
Zr 0.500 0.500 0.500
Ti 0.000 0.000 0.000

Electronic total energy ... -6.0078 eV/atom
Magnetization ... 1.49 μB per cell

---

Material: TbZr2Ti
Method: DFT, PBE
State: optimized geometry

Lattice parameters (Å, degrees): 10.596 10.596 10.596 17.51 17.51 17.51
Fractional positions:
Tb 0.000 0.000 0.000
Zr 0.242 0.242 0.242
Zr 0.424 0.424 0.424
Ti 0.833 0.833 0.833

Electronic total energy ... -7.2445 eV/atom
Distance to the lowest polymorph of the same formula ... 0.032 eV/atom
Magnetization ... 0.00 μB per cell

---

Material: TbTl5
Method: DFT, PBE
State: optimized geometry

Lattice parameters (Å, degrees): 7.935 7.935 4.902 90.00 90.00 146.16
Fractional positions:
Tb 0.000 0.000 0.000
Tl 0.165 0.835 0.500
Tl 0.333 0.667 0.000
Tl 0.500 0.500 0.500
Tl 0.667 0.333 0.000
Tl 0.835 0.165 0.500

Electronic total energy ... -2.8192 eV/atom
Magnetization ... 0.00 μB per cell

---

Material: Tb3Tl4
Method: DFT, PBE
State: optimized geometry

Lattice parameters (Å, degrees): 8.055 8.055 8.055 109.47 109.47 109.47
Fractional positions:
Tb 0.125 0.875 0.250
Tb 0.250 0.125 0.875
Tb 0.375 0.625 0.750
Tb 0.625 0.750 0.375
Tb 0.750 0.375 0.625
Tb 0.875 0.250 0.125
Tl 0.000 0.164 0.500
Tl 0.000 0.664 0.500
Tl 0.164 0.500 0.000
Tl 0.336 0.336 0.336
Tl 0.500 0.000 0.164
Tl 0.500 0.000 0.664
Tl 0.664 0.500 0.000
Tl 0.836 0.836 0.836

Electronic total energy ... -3.5855 eV/atom
Distance to the lowest polymorph of the same formula ... 0.078 eV/atom
Magnetization ... 0.00 μB per cell

---

Material: Tb7Tl3
Method: DFT, PBE
State: optimized geometry

Lattice parameters (Å, degrees): 10.673 10.673 6.231 90.00 90.00 120.00
Fractional positions:
Tb 0.056 0.528 0.000
Tb 0.121 0.242 0.758
Tb 0.121 0.879 0.758
Tb 0.242 0.121 0.258
Tb 0.333 0.667 0.570
Tb 0.472 0.528 0.000
Tb 0.472 0.944 0.000
Tb 0.528 0.056 0.500
Tb 0.528 0.472 0.500
Tb 0.667 0.333 0.070
Tb 0.758 0.879 0.758
Tb 0.879 0.121 0.258
Tb 0.879 0.758 0.258
Tb 0.944 0.472 0.500
Tl 0.193 0.387 0.292
Tl 0.193 0.807 0.292
Tl 0.387 0.193 0.792
Tl 0.613 0.807 0.292
Tl 0.807 0.193 0.792
Tl 0.807 0.613 0.792

Electronic total energy ... -4.1329 eV/atom
Magnetization ... 0.00 μB per cell

---

Material: Tb4Tl
Method: DFT, PBE
State: optimized geometry

Lattice parameters (Å, degrees): 8.748 6.685 10.089 58.77 40.80 80.44
Fractional positions:
Tb 0.144 0.844 0.055
Tb 0.195 0.293 0.106
Tb 0.267 0.733 0.334
Tb 0.293 0.195 0.406
Tb 0.584 0.916 0.517
Tb 0.733 0.267 0.666
Tb 0.844 0.144 0.957
Tb 0.916 0.584 0.983
Tl 0.461 0.461 0.539
Tl 0.711 0.711 0.789

Electronic total energy ... -4.2506 eV/atom
Distance to the lowest polymorph of the same formula ... 0.000 eV/atom
Magnetization ... 0.00 μB per cell

---

Material: Tb4Tl3
Method: DFT, PBE
State: optimized geometry

Lattice parameters (Å, degrees): 8.561 8.561 8.561 113.45 113.45 113.45
Fractional positions:
Tb 0.000 0.000 0.000
Tb 0.075 0.768 0.622
Tb 0.232 0.378 0.925
Tb 0.378 0.925 0.232
Tb 0.500 0.500 0.500
Tb 0.622 0.075 0.768
Tb 0.768 0.622 0.075
Tb 0.925 0.232 0.378
Tl 0.122 0.520 0.249
Tl 0.249 0.122 0.520
Tl 0.480 0.751 0.878
Tl 0.520 0.249 0.122
Tl 0.751 0.878 0.480
Tl 0.878 0.480 0.751

Electronic total energy ... -3.9592 eV/atom
Magnetization ... 0.00 μB per cell

---

Material: Tb4Tl
Method: DFT, PBE
State: optimized geometry

Lattice parameters (Å, degrees): 9.287 9.287 9.287 147.08 137.03 55.17
Fractional positions:
Tb 0.000 0.000 0.000
Tb 0.145 0.395 0.750
Tb 0.202 0.197 0.005
Tb 0.308 0.803 0.505
Tb 0.500 0.000 0.500
Tb 0.692 0.197 0.495
Tb 0.798 0.803 0.995
Tb 0.855 0.605 0.250
Tl 0.359 0.609 0.750
Tl 0.641 0.391 0.250

Electronic total energy ... -4.2283 eV/atom
Distance to the lowest polymorph of the same formula ... 0.022 eV/atom
Magnetization ... 0.00 μB per cell

---

Material: Tb13Tl2
Method: DFT, PBE
State: optimized geometry

Lattice parameters (Å, degrees): 6.751 8.599 8.925 66.56 79.06 82.63
Fractional positions:
Tb 0.000 0.000 0.000
Tb 0.120 0.477 0.737
Tb 0.197 0.229 0.153
Tb 0.261 0.938 0.586
Tb 0.306 0.653 0.973
Tb 0.371 0.411 0.390
Tb 0.494 0.144 0.796
Tb 0.506 0.856 0.204
Tb 0.629 0.589 0.610
Tb 0.694 0.347 0.027
Tb 0.739 0.062 0.414
Tb 0.803 0.771 0.847
Tb 0.880 0.523 0.263
Tl 0.059 0.772 0.383
Tl 0.941 0.228 0.617

Electronic total energy ... -4.3930 eV/atom
Magnetization ... 0.00 μB per cell

---

Material: Tb4Tl
Method: DFT, PBE
State: optimized geometry

Lattice parameters (Å, degrees): 5.763 5.763 5.763 90.00 90.00 90.00
Fractional positions:
Tb 0.000 0.000 0.000
Tb 0.000 0.500 0.500
Tb 0.500 0.000 0.500
Tb 0.500 0.500 0.000
Tl 0.500 0.500 0.500

Electronic total energy ... -3.7460 eV/atom
Distance to the lowest polymorph of the same formula ... 0.505 eV/atom
Magnetization ... 0.00 μB per cell

---

Material: Tb5Tl6
Method: DFT, PBE
State: optimized geometry

Lattice parameters (Å, degrees): 7.377 7.377 8.096 98.21 98.21 129.26
Fractional positions:
Tb 0.000 0.000 0.000
Tb 0.287 0.713 0.000
Tb 0.348 0.652 0.500
Tb 0.652 0.348 0.500
Tb 0.713 0.287 0.000
Tl 0.089 0.818 0.303
Tl 0.182 0.911 0.697
Tl 0.480 0.480 0.799
Tl 0.520 0.520 0.201
Tl 0.818 0.089 0.303
Tl 0.911 0.182 0.697

Electronic total energy ... -3.5782 eV/atom
Magnetization ... 0.00 μB per cell